Entry from Alexandria: GaFeO3 after structural relaxation (GGA+U).

Unit cell a=3.707 b=3.707 c=3.707 alpha=90.00 beta=90.00 gamma=90.00
Space group Pm-3m (No. 221)
Unique sites:
Ga (0.000, 0.000, 0.000) (multiplicity 1)
Fe (0.500, 0.500, 0.500) (multiplicity 1)
O (0.000, 0.500, 0.500) (multiplicity 3)

Values from the calculation:
uncorrected energy = -4.9546 eV/atom
DOS(E_F) = 6.90 states/eV per cell